VASP calculation (PBE+U) on VSnTeO6 after structural relaxation.

The structure belongs to space group P-31c (No. 163); the cell edges are 5.2490, 5.2490 and 10.5061 Å and the angles 90.00°, 90.00° and 120.00°. The inequivalent atoms are V at (0.3333, 0.6667, 0.2500), Sn at (0.0000, 0.0000, 0.0000), Te at (0.3333, 0.6667, 0.7500) and O at (0.0015, 0.3839, 0.6458).

The raw total energy comes out at -6.316 eV per atom.